Entry 1:
The following is a DFT calculation (PBE) of crystalline CaFeBr2 at its relaxed geometry.

Unit cell a=3.6969 b=3.9415 c=14.7776 alpha=90.00 beta=90.00 gamma=90.00
Last column: nearest neighbours and their distance in Å.
Space group Imm2 (No. 44)
Inequivalent atoms, fractional coordinates:
Ca1 0.0000 0.0000 0.0000 x2  2 Fe 3.02, 6 Br 3.03-3.07
Fe1 0.0000 0.5000 0.6617 x2  4 Br 2.70, 2 Ca 3.02
Br1 0.0000 0.0000 0.4076 x2  4 Ca 3.03
Br2 0.0000 0.5000 0.1590 x2  4 Fe 2.70

Calculated values
Density of states at the Fermi level   5.934 states/eV per cell
Magnetization   5.05 Bohr magnetons per cell
Final energy   -0.1456 Ha/atom
E_form (uncorrected)   -0.5097 eV per atom

---

Entry 2:
The following is a DFT calculation (PBE) of crystalline FeMo2P at its relaxed geometry.

Unit cell a=2.8642 b=2.8642 c=23.8879 alpha=90.00 beta=90.00 gamma=120.00
Last column: nearest neighbours and their distance in Å.
Space group R-3m (No. 166, hexagonal axes)
Inequivalent atoms, fractional coordinates:
Fe1 0.0000 0.0000 0.0000 x3  6 Mo 2.65, 6 Fe 2.86
Mo1 0.0000 0.0000 0.2464 x6  3 P 2.52, 3 Fe 2.65
P1 0.0000 0.0000 0.5000 x3  6 Mo 2.52

Calculated values
Density of states at the Fermi level   10.959 states/eV per cell
Magnetization   5.33 Bohr magnetons per cell
Formation energy   153 meV per atom
Final energy   -0.3208 Ha/atom

---

Entry 3:
The following is a DFT calculation (PBE) of crystalline Ac3Pr2 at its relaxed geometry.

Unit cell a=7.5199 b=7.5199 c=26.8274 alpha=90.00 beta=90.00 gamma=120.00
Last column: nearest neighbours and their distance in Å.
Space group R-3c (No. 167, hexagonal axes)
Inequivalent atoms, fractional coordinates:
Ac1 0.0000 0.4732 0.2500 x18  4 Pr 3.62-3.89, 4 Ac 3.78
Pr1 0.0000 0.0000 0.1912 x12  1 Pr 3.16

Calculated values
Density of states at the Fermi level   51.903 states/eV per cell
Magnetization   0.00 Bohr magnetons per cell
Formation energy   251 meV per atom
Final energy   -0.1516 Ha/atom

---

Entry 4:
The following is a DFT calculation (PBE) of crystalline RbC2S at its relaxed geometry.

Unit cell a=5.5249 b=5.5249 c=7.6334 alpha=90.00 beta=90.00 gamma=90.00
Last column: nearest neighbours and their distance in Å.
Space group I-42d (No. 122)
Inequivalent atoms, fractional coordinates:
Rb1 0.0000 0.0000 0.0000 x4  8 C 3.01-3.19, 4 S 3.36, 4 Rb 3.36
C1 0.0480 0.2500 0.6250 x8  2 S 1.70
S1 0.0000 0.0000 0.5000 x4  4 C 1.70

Calculated values
Density of states at the Fermi level   4.026 states/eV per cell
Magnetization   0.00 Bohr magnetons per cell
Final energy   -0.1592 Ha/atom
E_form (uncorrected)   1.5549 eV per atom

---

Entry 5:
The following is a DFT calculation (PBE) of crystalline Zr2TaTe at its relaxed geometry.

Unit cell a=6.9350 b=6.9350 c=6.9350 alpha=90.00 beta=90.00 gamma=90.00
Last column: nearest neighbours and their distance in Å.
Space group F-43m (No. 216)
Inequivalent atoms, fractional coordinates:
Zr1 0.0000 0.0000 0.0000 x4  4 Ta 3.00, 4 Zr 3.00
Zr2 0.2500 0.2500 0.2500 x4  4 Zr 3.00, 4 Te 3.00
Ta1 0.2500 0.2500 0.7500 x4  4 Zr 3.00, 4 Te 3.00
Te1 0.0000 0.0000 0.5000 x4  4 Zr 3.00, 4 Ta 3.00

Calculated values
Density of states at the Fermi level   15.241 states/eV per cell
Magnetization   0.00 Bohr magnetons per cell
Final energy   -0.2904 Ha/atom
E_form (uncorrected)   0.1199 eV per atom

---

Entry 6:
The following is a DFT calculation (PBE) of crystalline Np2RhSe5 at its relaxed geometry.

Unit cell a=8.0741 b=10.8134 c=3.9723 alpha=90.00 beta=90.00 gamma=90.00
Last column: nearest neighbours and their distance in Å.
Space group Pbam (No. 55)
Inequivalent atoms, fractional coordinates:
Np1 0.0719 0.1831 0.0000 x4  7 Se 2.86-3.00
Rh1 0.0000 0.5000 0.5000 x2  6 Se 2.51-2.55
Se1 0.0000 0.0000 0.5000 x2  4 Np 2.86
Se2 0.1512 0.7030 0.5000 x4  1 Rh 2.51
Se3 0.1835 0.4435 0.0000 x4  2 Rh 2.55

Calculated values
Density of states at the Fermi level   32.460 states/eV per cell
Magnetization   14.04 Bohr magnetons per cell
Final energy   -0.2659 Ha/atom
E_form (uncorrected)   -0.9027 eV per atom

---

Entry 7:
The following is a DFT calculation (PBE) of crystalline Mg5HgPd2 at its relaxed geometry.

Unit cell a=5.8905 b=11.3461 c=4.4588 alpha=90.00 beta=90.00 gamma=90.00
Last column: nearest neighbours and their distance in Å.
Space group Pbam (No. 55)
Inequivalent atoms, fractional coordinates:
Mg1 0.0000 0.0000 0.0000 x2  4 Pd 2.87, 2 Hg 2.95, 6 Mg 3.02-3.17
Mg2 0.1044 0.2604 0.0000 x4  1 Hg 2.79, 4 Pd 2.89-3.03, 5 Mg 2.95-3.03
Mg3 0.1880 0.6159 0.5000 x4  3 Pd 2.74-3.04, 2 Hg 2.82, 2 Mg 3.03
Hg1 0.0000 0.5000 0.0000 x2  8 Mg 2.79-2.95
Pd1 0.1512 0.8617 0.5000 x4  9 Mg 2.74-3.04

Calculated values
Density of states at the Fermi level   6.866 states/eV per cell
Magnetization   0.00 Bohr magnetons per cell
Formation energy   -424 meV per atom
Final energy   -0.1013 Ha/atom

---

Entry 8:
The following is a DFT calculation (PBE) of crystalline Ta2CrIr at its relaxed geometry.

Unit cell a=2.8694 b=2.8694 c=27.2385 alpha=90.00 beta=90.00 gamma=120.00
Last column: nearest neighbours and their distance in Å.
Space group R3m (No. 160, hexagonal axes)
Inequivalent atoms, fractional coordinates:
Ta1 0.0000 0.0000 0.0000 x3  3 Cr 2.77, 9 Ta 2.87-3.03
Ta2 0.0000 0.0000 0.2400 x3  3 Ir 2.81, 9 Ta 2.87-3.03
Cr1 0.0000 0.0000 0.7482 x3  3 Ir 2.63, 3 Ta 2.77, 6 Cr 2.87
Ir1 0.0000 0.0000 0.4900 x3  3 Cr 2.63, 3 Ta 2.81, 6 Ir 2.87

Calculated values
Density of states at the Fermi level   13.394 states/eV per cell
Magnetization   5.24 Bohr magnetons per cell
Formation energy   138 meV per atom
Final energy   -0.3825 Ha/atom

---

Entry 9:
The following is a DFT calculation (PBE) of crystalline CaCrPd at its relaxed geometry.

Unit cell a=3.6156 b=3.6156 c=9.1863 alpha=90.00 beta=90.00 gamma=90.00
Last column: nearest neighbours and their distance in Å.
Space group P4/nmm (No. 129, origin choice 2)
Inequivalent atoms, fractional coordinates:
Ca1 0.2500 0.2500 0.1562 x2  4 Pd 2.84
Cr1 0.2500 0.7500 0.5000 x2  4 Cr 2.56, 4 Pd 2.64
Pd1 0.2500 0.2500 0.7090 x2  4 Cr 2.64, 4 Ca 2.84

Calculated values
Density of states at the Fermi level   10.114 states/eV per cell
Magnetization   0.00 Bohr magnetons per cell
Formation energy   145 meV per atom
Final energy   -0.2007 Ha/atom

---

Entry 10:
The following is a DFT calculation (PBE) of crystalline GaGeH at its relaxed geometry.

Unit cell a=4.1250 b=7.8336 c=6.4375 alpha=90.00 beta=108.38 gamma=90.00
Last column: nearest neighbours and their distance in Å.
Space group Cc (No. 9)
Inequivalent atoms, fractional coordinates:
Ga1 0.0000 0.1414 0.0000 x4  1 H 1.85
Ge1 0.2495 0.1368 0.6889 x4  1 H 1.67
H1 0.1034 0.4655 0.3357 x4  1 Ge 1.67, 1 Ga 1.85

Calculated values
Density of states at the Fermi level   0.366 states/eV per cell
Magnetization   0.00 Bohr magnetons per cell
Final energy   -0.1275 Ha/atom

---

Entry 11:
The following is a DFT calculation (PBE) of crystalline Zn3GeCl at its relaxed geometry.

Unit cell a=4.9120 b=4.9120 c=4.9120 alpha=90.00 beta=90.00 gamma=90.00
Last column: nearest neighbours and their distance in Å.
Space group Pm-3m (No. 221)
Inequivalent atoms, fractional coordinates:
Zn1 0.0000 0.0000 0.5000 x3  2 Cl 2.46
Ge1 0.5000 0.5000 0.5000 x1  12 Zn 3.47
Cl1 0.0000 0.0000 0.0000 x1  6 Zn 2.46

Calculated values
Density of states at the Fermi level   4.943 states/eV per cell
Magnetization   0.00 Bohr magnetons per cell
Final energy   -0.0505 Ha/atom
E_form (uncorrected)   0.6834 eV per atom

---

Entry 12:
The following is a DFT calculation (PBE) of crystalline TaCuPt at its relaxed geometry.

Unit cell a=2.8427 b=2.8427 c=6.6928 alpha=90.00 beta=90.00 gamma=120.00
Last column: nearest neighbours and their distance in Å.
Space group P3m1 (No. 156)
Inequivalent atoms, fractional coordinates:
Ta1 0.0000 0.0000 0.0000 x1  3 Cu 2.78, 3 Pt 2.79, 6 Ta 2.84
Cu1 0.6667 0.3333 0.3354 x1  3 Pt 2.73, 3 Ta 2.78, 6 Cu 2.84
Pt1 0.3333 0.6667 0.6620 x1  3 Cu 2.73, 3 Ta 2.79, 6 Pt 2.84

Calculated values
Density of states at the Fermi level   1.748 states/eV per cell
Magnetization   0.00 Bohr magnetons per cell
Formation energy   -123 meV per atom
Final energy   -0.2739 Ha/atom

---

Entry 13:
The following is a DFT calculation (PBE) of crystalline TiNb2Te5 at its relaxed geometry.

Unit cell a=4.9534 b=13.8570 c=14.5935 alpha=90.00 beta=90.00 gamma=90.00
Last column: nearest neighbours and their distance in Å.
Space group Fmmm (No. 69)
Inequivalent atoms, fractional coordinates:
Ti1 0.0000 0.0000 0.0000 x4  2 Te 2.48
Nb1 0.0000 0.0000 0.3076 x8  7 Te 2.81-3.09, 2 Nb 2.99
Te1 0.0000 0.0000 0.5000 x4  2 Ti 2.48
Te2 0.0000 0.1286 0.1581 x16  3 Nb 2.82-3.09, 1 Ti 2.92

Calculated values
Density of states at the Fermi level   17.817 states/eV per cell
Magnetization   0.94 Bohr magnetons per cell
Final energy   -0.2124 Ha/atom
E_form (uncorrected)   -0.3116 eV per atom

---

Entry 14:
The following is a DFT calculation (PBE) of crystalline Sc2AlFe at its relaxed geometry.

Unit cell a=3.0885 b=3.0885 c=28.6411 alpha=90.00 beta=90.00 gamma=120.00
Last column: nearest neighbours and their distance in Å.
Space group R-3m (No. 166, hexagonal axes)
Inequivalent atoms, fractional coordinates:
Sc1 0.0000 0.0000 0.1025 x6  3 Fe 2.56
Al1 0.0000 0.0000 0.0000 x3  2 Sc 2.94, 6 Al 3.09
Fe1 0.0000 0.0000 0.5000 x3  6 Sc 2.56

Calculated values
Density of states at the Fermi level   13.965 states/eV per cell
Magnetization   0.00 Bohr magnetons per cell
Formation energy   268 meV per atom
Final energy   -0.2186 Ha/atom

---

Entry 15:
The following is a DFT calculation (PBE) of crystalline PrY12Er7 at its relaxed geometry.

Unit cell a=12.8619 b=12.8619 c=13.6019 alpha=90.00 beta=90.00 gamma=120.00
Last column: nearest neighbours and their distance in Å.
Space group R-3 (No. 148, hexagonal axes)
Inequivalent atoms, fractional coordinates:
Pr1 0.0000 0.0000 0.0000 x3  6 Er 3.07
Y1 0.0013 0.5652 0.2484 x18  3 Y 3.35-3.56, 3 Er 3.36-3.55
Y2 0.0684 0.8698 0.3460 x18  2 Er 3.07, 2 Y 3.12-3.35
Er1 0.0000 0.0000 0.5000 x3  6 Y 3.07
Er2 0.0689 0.2016 0.8494 x18  2 Y 3.07-3.36, 1 Pr 3.07, 1 Er 3.08

Calculated values
Density of states at the Fermi level   58.007 states/eV per cell
Magnetization   0.00 Bohr magnetons per cell
Formation energy   294 meV per atom
Final energy   -0.1992 Ha/atom

---

Entry 16:
The following is a DFT calculation (PBE) of crystalline ZnCd5O6 at its relaxed geometry.

Unit cell a=5.7719 b=10.0269 c=5.7659 alpha=90.00 beta=109.40 gamma=90.00
Last column: nearest neighbours and their distance in Å.
Space group C2/m (No. 12)
Inequivalent atoms, fractional coordinates:
Zn1 0.0000 0.0000 0.0000 x2  6 O 2.17-2.28
Cd1 0.0000 0.1658 0.5000 x4  6 O 2.34-2.45
Cd2 0.0000 0.3332 0.0000 x4  6 O 2.36-2.38
Cd3 0.0000 0.5000 0.5000 x2  6 O 2.34-2.54
O1 0.2315 0.0000 0.7712 x4  1 Zn 2.17, 4 Cd 2.36-2.37
O2 0.2420 0.1590 0.2452 x8  1 Zn 2.28, 5 Cd 2.34-2.45

Calculated values
Density of states at the Fermi level   7.614 states/eV per cell
Magnetization   0.00 Bohr magnetons per cell
Final energy   -0.1473 Ha/atom
E_form (uncorrected)   -1.0415 eV per atom

---

Entry 17:
The following is a DFT calculation (PBE) of crystalline NaLiPb2 at its relaxed geometry.

Unit cell a=3.4723 b=3.4723 c=30.2198 alpha=90.00 beta=90.00 gamma=120.00
Last column: nearest neighbours and their distance in Å.
Space group R3m (No. 160, hexagonal axes)
Inequivalent atoms, fractional coordinates:
Na1 0.0000 0.0000 0.0000 x3  6 Pb 3.38-3.39, 6 Na 3.47
Li1 0.0000 0.0000 0.1664 x3  6 Pb 3.05-3.06
Pb1 0.0000 0.0000 0.5762 x3  3 Li 3.06, 3 Na 3.39
Pb2 0.0000 0.0000 0.7568 x3  3 Li 3.05, 3 Na 3.38

Calculated values
Density of states at the Fermi level   7.333 states/eV per cell
Magnetization   0.00 Bohr magnetons per cell
Formation energy   -124 meV per atom
Final energy   -0.1024 Ha/atom

---

Entry 18:
The following is a DFT calculation (PBE) of crystalline CaPm4Pd5 at its relaxed geometry.

Unit cell a=3.5574 b=3.5574 c=18.2897 alpha=90.00 beta=90.00 gamma=90.00
Last column: nearest neighbours and their distance in Å.
Space group P4/mmm (No. 123)
Inequivalent atoms, fractional coordinates:
Ca1 0.0000 0.0000 0.0000 x1  8 Pd 3.17
Pm1 0.0000 0.0000 0.1974 x2  8 Pd 3.03-3.13
Pm2 0.0000 0.0000 0.3996 x2  8 Pd 3.11
Pd1 0.5000 0.5000 0.1054 x2  4 Pm 3.03, 4 Ca 3.17
Pd2 0.5000 0.5000 0.2993 x2  8 Pm 3.11-3.13
Pd3 0.5000 0.5000 0.5000 x1  8 Pm 3.11

Calculated values
Density of states at the Fermi level   6.891 states/eV per cell
Magnetization   0.00 Bohr magnetons per cell
Formation energy   -760 meV per atom
Final energy   -0.2005 Ha/atom

---

Entry 19:
The following is a DFT calculation (PBE) of crystalline AcEr2Tl2Hg2 at its relaxed geometry.

Unit cell a=5.0513 b=5.0513 c=27.6866 alpha=90.00 beta=90.00 gamma=120.00
Last column: nearest neighbours and their distance in Å.
Space group R-3m (No. 166, hexagonal axes)
Inequivalent atoms, fractional coordinates:
Ac1 0.0000 0.0000 0.0000 x3  6 Tl 3.50, 2 Er 3.74
Er1 0.0000 0.0000 0.1352 x6  3 Hg 3.01
Tl1 0.0000 0.0000 0.2632 x6  3 Hg 3.10, 3 Er 3.43
Hg1 0.0000 0.0000 0.4412 x6  3 Er 3.01, 3 Tl 3.10, 1 Hg 3.26

Calculated values
Density of states at the Fermi level   11.291 states/eV per cell
Magnetization   0.00 Bohr magnetons per cell
Formation energy   -253 meV per atom
Final energy   -0.1068 Ha/atom

---

Entry 20:
The following is a DFT calculation (PBE) of crystalline Tb2Al2InNi5 at its relaxed geometry.

Unit cell a=9.5931 b=9.5931 c=3.5552 alpha=90.00 beta=90.00 gamma=90.00
Last column: nearest neighbours and their distance in Å.
Space group P4/mbm (No. 127)
Inequivalent atoms, fractional coordinates:
Tb1 0.1837 0.3163 0.0000 x4  3 Al 2.78-2.92, 10 Ni 3.05-3.08
Al1 0.1116 0.6116 0.0000 x4  6 Ni 2.34-2.44
In1 0.0000 0.0000 0.0000 x2  8 Ni 2.84
Ni1 0.0000 0.5000 0.5000 x2  4 Al 2.34
Ni2 0.0606 0.7778 0.5000 x8  2 Al 2.44, 1 Ni 2.73

Calculated values
Density of states at the Fermi level   14.358 states/eV per cell
Magnetization   0.00 Bohr magnetons per cell
Formation energy   -360 meV per atom
Final energy   -0.1911 Ha/atom

---

Summary of volume in Å³/atom
26.916 14.143 43.794 14.563 20.846 21.676 18.625 16.185 20.015 16.451 23.703 15.613 31.303 19.717 32.478 13.115 26.296 23.146 29.133 16.359
(order as listed above)